Entry w
The following is a DFT calculation (PBE-GGA) of crystalline ZnCdTc3 at its relaxed geometry.

abc: 4.5575 4.5575 4.5575
angles: 90.00 90.00 90.00
Last column: nearest neighbours and their distance in Å.
Fractional positions:
Zn1 0.0000 0.0000 0.0000  6 Tc 2.28
Tc1 0.0000 0.5000 0.0000  2 Zn 2.28
Tc2 0.0000 0.0000 0.5000  2 Zn 2.28
Tc3 0.5000 0.0000 0.0000  2 Zn 2.28
Cd1 0.5000 0.5000 0.5000  12 Tc 3.22

Values from the calculation:
calculated volume: 18.93 Å³ per atom
size of the total moment: 2.81 μB/cell



Entry x
The following is a DFT calculation (PBE-GGA) of crystalline ZnCdTc3 at its relaxed geometry.

abc: 5.0143 5.0143 5.0143
angles: 90.00 90.00 90.00
Last column: nearest neighbours and their distance in Å.
Fractional positions:
Zn1 0.5000 0.5000 0.5000  12 Tc 3.55
Tc1 0.0000 0.5000 0.0000  2 Cd 2.51
Tc2 0.0000 0.0000 0.5000  2 Cd 2.51
Tc3 0.5000 0.0000 0.0000  2 Cd 2.51
Cd1 0.0000 0.0000 0.0000  6 Tc 2.51

Values from the calculation:
calculated volume: 25.22 Å³ per atom
size of the total moment: 8.97 μB/cell



Result of the stability comparison: entry x is the least stable of them.



Entry w
The following is a DFT calculation (PBE-GGA) of crystalline ZrCdTc at its relaxed geometry.

abc: 3.8313 3.8313 9.3324
angles: 90.00 90.00 90.00
Last column: nearest neighbours and their distance in Å.
Fractional positions:
Cd1 0.5000 0.5000 0.5000  4 Cd 2.71
Cd2 0.0000 0.0000 0.5000  4 Cd 2.71
Tc1 0.5000 0.5000 0.0000  4 Tc 2.71, 4 Zr 2.77
Tc2 0.0000 0.0000 0.0000  4 Tc 2.71, 4 Zr 2.77
Zr1 0.5000 0.0000 0.7862  4 Tc 2.77
Zr2 0.0000 0.5000 0.2138  4 Tc 2.77

Values from the calculation:
calculated volume: 22.83 Å³ per atom
size of the total moment: 0.00 μB/cell



Entry x
The following is a DFT calculation (PBE-GGA) of crystalline ZrCdTc at its relaxed geometry.

abc: 7.3132 7.1068 2.9920
angles: 81.92 74.18 23.90
Last column: nearest neighbours and their distance in Å.
Fractional positions:
Cd1 0.0080 0.0080 0.9920  2 Tc 2.87, 4 Cd 2.99, 2 Zr 3.14
Tc1 0.6743 0.6743 0.3257  2 Zr 2.63, 2 Cd 2.87
Zr1 0.3177 0.3177 0.6823  2 Tc 2.63

Values from the calculation:
calculated volume: 19.40 Å³ per atom
size of the total moment: 0.00 μB/cell



Result of the stability comparison: entry w is the least stable of them.



Entry w
The following is a DFT calculation (PBE-GGA) of crystalline ZrCdTc at its relaxed geometry.

abc: 4.7992 4.7992 2.8031
angles: 90.00 90.00 120.00
Last column: nearest neighbours and their distance in Å.
Fractional positions:
Cd1 0.0000 0.0000 0.0315  2 Cd 2.80, 3 Tc 2.90, 3 Zr 2.99
Tc1 0.6667 0.3333 0.3419  2 Tc 2.80, 3 Zr 2.88, 3 Cd 2.90
Zr1 0.3333 0.6667 0.6266  2 Zr 2.80, 3 Tc 2.88, 3 Cd 2.99

Values from the calculation:
calculated volume: 18.64 Å³ per atom
size of the total moment: 0.00 μB/cell



Entry x
The following is a DFT calculation (PBE-GGA) of crystalline ZrCdTc at its relaxed geometry.

abc: 4.5562 4.5562 4.5562
angles: 60.00 60.00 60.00
Last column: nearest neighbours and their distance in Å.
Fractional positions:
Cd1 0.5000 0.5000 0.5000  4 Tc 2.79
Tc1 0.7500 0.7500 0.7500  4 Zr 2.79, 4 Cd 2.79
Zr1 0.0000 0.0000 0.0000  4 Tc 2.79

Values from the calculation:
calculated volume: 22.29 Å³ per atom
size of the total moment: 0.39 μB/cell



Entry y
The following is a DFT calculation (PBE-GGA) of crystalline ZrCdTc at its relaxed geometry.

abc: 5.4298 5.4298 5.4298
angles: 143.03 143.03 53.27
Last column: nearest neighbours and their distance in Å.
Fractional positions:
Cd1 0.9925 0.9925 0.0000  5 Tc 2.94-3.20, 5 Zr 2.98-3.07
Tc1 0.3219 0.3219 0.0000  4 Zr 2.77, 4 Cd 2.94
Zr1 0.6856 0.6856 0.0000  4 Tc 2.77, 5 Cd 2.98-3.07

Values from the calculation:
calculated volume: 19.17 Å³ per atom
size of the total moment: 0.00 μB/cell



Result of the stability comparison: entry x is the least stable of them.